Here is an optimized crystal structure of SmDySn6 from Alexandria via LeMat-Bulk. Energies are from PBE-GGA.

a b c (Å): 4.7266 4.7266 9.4944
angles (deg): 90.00 90.00 90.00
Closest atoms and distances in Å follow each position.
Atoms (fractional coordinates):
Sm: 0.0000 0.0000 0.0000  12 Sn 3.34-3.37
Dy: 0.0000 0.0000 0.5000  12 Sn 3.33-3.34
Sn: 0.0000 0.5000 0.2532  8 Sn 3.33-3.37, 2 Dy 3.33, 2 Sm 3.37
Sn: 0.0000 0.5000 0.7468  8 Sn 3.33-3.37, 2 Dy 3.33, 2 Sm 3.37
Sn: 0.5000 0.0000 0.2532  8 Sn 3.33-3.37, 2 Dy 3.33, 2 Sm 3.37
Sn: 0.5000 0.0000 0.7468  8 Sn 3.33-3.37, 2 Dy 3.33, 2 Sm 3.37
Sn: 0.5000 0.5000 0.0000  4 Sm 3.34, 8 Sn 3.37
Sn: 0.5000 0.5000 0.5000  8 Sn 3.33, 4 Dy 3.34

calculated formation energy	-0.4484	eV per atom

***

Here is an optimized crystal structure of Pm5Te5C from Alexandria via LeMat-Bulk. Energies are from PBE-GGA.

a b c (Å): 7.5428 7.5428 8.6303
angles (deg): 107.60 107.60 48.41
Closest atoms and distances in Å follow each position.
Atoms (fractional coordinates):
Pm: 0.0000 0.0000 0.0000  2 C 3.09, 4 Te 3.11
Pm: 0.3552 0.3552 0.1417  1 C 2.66
Pm: 0.3572 0.3572 0.7100  1 C 2.62
Pm: 0.6428 0.6428 0.2900  1 C 2.62
Pm: 0.6448 0.6448 0.8583  1 C 2.66
Te: 0.1591 0.1591 0.8147  5 Pm 3.11-3.19
Te: 0.1795 0.1795 0.3343  5 Pm 3.11-3.36
Te: 0.5000 0.5000 0.5000  4 Pm 3.07-3.08
Te: 0.8205 0.8205 0.6657  5 Pm 3.11-3.36
Te: 0.8409 0.8409 0.1853  5 Pm 3.11-3.19
C: 0.5000 0.5000 0.0000  4 Pm 2.62-2.66

energy relative to the elements, uncorrected	-1155	meV/atom

***

Here is an optimized crystal structure of CdSbRuO6 from Alexandria via LeMat-Bulk. Energies are from PBE-GGA.

a b c (Å): 5.2864 5.2864 9.7671
angles (deg): 90.00 90.00 120.00
Closest atoms and distances in Å follow each position.
Atoms (fractional coordinates):
Cd: 0.0000 0.0000 0.0000  6 O 2.36
Cd: 0.0000 0.0000 0.5000  6 O 2.36
Sb: 0.3333 0.6667 0.2500  6 O 2.02
Sb: 0.6667 0.3333 0.7500  6 O 2.02
Ru: 0.3333 0.6667 0.7500  6 O 1.98
Ru: 0.6667 0.3333 0.2500  6 O 1.98
O: 0.0057 0.3688 0.6392  1 Ru 1.98, 1 Sb 2.02
O: 0.0057 0.6369 0.8608  1 Ru 1.98, 1 Sb 2.02
O: 0.3631 0.3688 0.8608  1 Ru 1.98, 1 Sb 2.02
O: 0.3631 0.9943 0.6392  1 Ru 1.98, 1 Sb 2.02
O: 0.3688 0.0057 0.1392  1 Ru 1.98, 1 Sb 2.02
O: 0.3688 0.3631 0.3608  1 Ru 1.98, 1 Sb 2.02
O: 0.6312 0.6369 0.6392  1 Ru 1.98, 1 Sb 2.02
O: 0.6312 0.9943 0.8608  1 Ru 1.98, 1 Sb 2.02
O: 0.6369 0.0057 0.3608  1 Ru 1.98, 1 Sb 2.02
O: 0.6369 0.6312 0.1392  1 Ru 1.98, 1 Sb 2.02
O: 0.9943 0.3631 0.1392  1 Ru 1.98, 1 Sb 2.02
O: 0.9943 0.6312 0.3608  1 Ru 1.98, 1 Sb 2.02

energy relative to the elements, uncorrected	-1120	meV/atom

***

Here is an optimized crystal structure of LiZn2Te from Alexandria via LeMat-Bulk. Energies are from PBE-GGA.

a b c (Å): 4.9236 4.9236 4.9236
angles (deg): 60.00 60.00 60.00
Closest atoms and distances in Å follow each position.
Atoms (fractional coordinates):
Li: 0.0000 0.0000 0.0000  4 Te 3.02, 4 Zn 3.02
Zn: 0.2500 0.2500 0.2500  4 Li 3.02, 4 Zn 3.02
Zn: 0.5000 0.5000 0.5000  4 Te 3.02, 4 Zn 3.02
Te: 0.7500 0.7500 0.7500  4 Li 3.02, 4 Zn 3.02

energy relative to the elements, uncorrected	-66	meV/atom

***

Here is an optimized crystal structure of ZnCu2Sb from Alexandria via LeMat-Bulk. Energies are from PBE-GGA.

a b c (Å): 4.5754 4.5754 4.8610
angles (deg): 98.09 98.09 41.81
Closest atoms and distances in Å follow each position.
Atoms (fractional coordinates):
Zn: 0.0000 0.0000 0.0000  5 Cu 2.50-2.65, 1 Sb 2.78
Cu: 0.4807 0.4807 0.3926  2 Zn 2.54, 3 Cu 2.60-2.73, 3 Sb 2.65-2.83
Cu: 0.7385 0.7385 0.1703  3 Zn 2.50-2.65, 3 Cu 2.60-2.73
Sb: 0.2303 0.2303 0.6535  5 Cu 2.65-2.87, 1 Zn 2.78

distance to the lowest polymorph of the same formula	40	meV/atom
energy relative to the elements, uncorrected	131	meV/atom

***

Here is an optimized crystal structure of MgNbAl2In from Alexandria via LeMat-Bulk. Energies are from PBE-GGA.

a b c (Å): 4.8236 4.8236 5.0692
angles (deg): 90.00 90.00 90.00
Closest atoms and distances in Å follow each position.
Atoms (fractional coordinates):
Mg: 0.0000 0.0000 0.0000  4 Al 2.41, 2 In 2.53
Nb: 0.5000 0.5000 0.5000  4 In 3.41, 8 Al 3.50
Al: 0.0000 0.5000 0.0000  2 Mg 2.41
Al: 0.5000 0.0000 0.0000  2 Mg 2.41
In: 0.0000 0.0000 0.5000  2 Mg 2.53

calculated formation energy	1.2861	eV per atom

***

Here is an optimized crystal structure of TbGdCdCu from Alexandria via LeMat-Bulk. Energies are from PBE-GGA.

a b c (Å): 5.1598 5.1598 5.1598
angles (deg): 60.00 60.00 60.00
Closest atoms and distances in Å follow each position.
Atoms (fractional coordinates):
Tb: 0.0000 0.0000 0.0000  4 Cd 3.16, 4 Cu 3.16
Gd: 0.5000 0.5000 0.5000  4 Cd 3.16, 4 Cu 3.16
Cd: 0.7500 0.7500 0.7500  4 Gd 3.16, 4 Tb 3.16
Cu: 0.2500 0.2500 0.2500  4 Gd 3.16, 4 Tb 3.16

calculated formation energy	-0.2196	eV per atom

***

Here is an optimized crystal structure of ScNbCr4 from Alexandria via LeMat-Bulk. Energies are from PBE-GGA.

a b c (Å): 4.9560 4.9560 4.9560
angles (deg): 60.00 60.00 60.00
Closest atoms and distances in Å follow each position.
Atoms (fractional coordinates):
Sc: 0.0000 0.0000 0.0000  12 Cr 2.91, 4 Nb 3.03
Nb: 0.2500 0.2500 0.2500  12 Cr 2.91, 4 Sc 3.03
Cr: 0.1249 0.6250 0.6250  6 Cr 2.48
Cr: 0.6250 0.1249 0.6250  6 Cr 2.48
Cr: 0.6250 0.6250 0.1249  6 Cr 2.48
Cr: 0.6250 0.6250 0.6250  6 Cr 2.48

calculated formation energy	-0.0239	eV per atom

***

Here is an optimized crystal structure of Ba12Cu5Ag3 from Alexandria via LeMat-Bulk. Energies are from PBE-GGA.

a b c (Å): 16.8901 16.8901 16.8901
angles (deg): 109.47 109.47 109.47
Closest atoms and distances in Å follow each position.
Atoms (fractional coordinates):
Ba: 0.0385 0.2153 0.1239  2 Cu 3.01-3.24
Ba: 0.0385 0.3232 0.9146  2 Cu 3.01-3.24
Ba: 0.0854 0.6239 0.4086  2 Cu 3.01-3.24
Ba: 0.0854 0.9615 0.6768  2 Cu 3.01-3.24
Ba: 0.0914 0.7153 0.6768  2 Cu 3.01-3.24
Ba: 0.0914 0.8761 0.4146  2 Cu 3.01-3.24
Ba: 0.1239 0.0385 0.2153  2 Cu 3.01-3.24
Ba: 0.1239 0.5854 0.9086  2 Cu 3.01-3.24
Ba: 0.1768 0.2153 0.5914  2 Cu 3.01-3.24
Ba: 0.1768 0.4615 0.5854  2 Cu 3.01-3.24
Ba: 0.2153 0.1239 0.0385  2 Cu 3.01-3.24
Ba: 0.2153 0.5914 0.1768  2 Cu 3.01-3.24
Ba: 0.2847 0.3232 0.9086  2 Cu 3.01-3.24
Ba: 0.2847 0.4615 0.3761  2 Cu 3.01-3.24
Ba: 0.3232 0.9086 0.2847  2 Cu 3.01-3.24
Ba: 0.3232 0.9146 0.0385  2 Cu 3.01-3.24
Ba: 0.3761 0.2847 0.4615  2 Cu 3.01-3.24
Ba: 0.3761 0.5914 0.9146  2 Cu 3.01-3.24
Ba: 0.4086 0.0854 0.6239  2 Cu 3.01-3.24
Ba: 0.4086 0.8232 0.7847  2 Cu 3.01-3.24
Ba: 0.4146 0.0914 0.8761  2 Cu 3.01-3.24
Ba: 0.4146 0.8232 0.5385  2 Cu 3.01-3.24
Ba: 0.4615 0.3761 0.2847  2 Cu 3.01-3.24
Ba: 0.4615 0.5854 0.1768  2 Cu 3.01-3.24
Ba: 0.5385 0.4146 0.8232  2 Cu 3.01-3.24
Ba: 0.5385 0.6239 0.7153  2 Cu 3.01-3.24
Ba: 0.5854 0.1768 0.4615  2 Cu 3.01-3.24
Ba: 0.5854 0.9086 0.1239  2 Cu 3.01-3.24
Ba: 0.5914 0.1768 0.2153  2 Cu 3.01-3.24
Ba: 0.5914 0.9146 0.3761  2 Cu 3.01-3.24
Ba: 0.6239 0.4086 0.0854  2 Cu 3.01-3.24
Ba: 0.6239 0.7153 0.5385  2 Cu 3.01-3.24
Ba: 0.6768 0.0854 0.9615  2 Cu 3.01-3.24
Ba: 0.6768 0.0914 0.7153  2 Cu 3.01-3.24
Ba: 0.7153 0.5385 0.6239  2 Cu 3.01-3.24
Ba: 0.7153 0.6768 0.0914  2 Cu 3.01-3.24
Ba: 0.7847 0.4086 0.8232  2 Cu 3.01-3.24
Ba: 0.7847 0.8761 0.9615  2 Cu 3.01-3.24
Ba: 0.8232 0.5385 0.4146  2 Cu 3.01-3.24
Ba: 0.8232 0.7847 0.4086  2 Cu 3.01-3.24
Ba: 0.8761 0.4146 0.0914  2 Cu 3.01-3.24
Ba: 0.8761 0.9615 0.7847  2 Cu 3.01-3.24
Ba: 0.9086 0.1239 0.5854  2 Cu 3.01-3.24
Ba: 0.9086 0.2847 0.3232  2 Cu 3.01-3.24
Ba: 0.9146 0.0385 0.3232  2 Cu 3.01-3.24
Ba: 0.9146 0.3761 0.5914  2 Cu 3.01-3.24
Ba: 0.9615 0.6768 0.0854  2 Cu 3.01-3.24
Ba: 0.9615 0.7847 0.8761  2 Cu 3.01-3.24
Cu: 0.0000 0.0000 0.0000  6 Ba 3.24
Cu: 0.0000 0.0000 0.5000  6 Ba 3.24
Cu: 0.0000 0.5000 0.0000  6 Ba 3.24
Cu: 0.0000 0.5000 0.5000  6 Ba 3.24
Cu: 0.1250 0.7500 0.8750  4 Ba 3.01
Cu: 0.1250 0.8750 0.2500  4 Ba 3.01
Cu: 0.2500 0.1250 0.8750  4 Ba 3.01
Cu: 0.2500 0.6250 0.3750  4 Ba 3.01
Cu: 0.3750 0.2500 0.6250  4 Ba 3.01
Cu: 0.3750 0.6250 0.7500  4 Ba 3.01
Cu: 0.5000 0.0000 0.0000  6 Ba 3.24
Cu: 0.5000 0.0000 0.5000  6 Ba 3.24
Cu: 0.5000 0.5000 0.0000  6 Ba 3.24
Cu: 0.5000 0.5000 0.5000  6 Ba 3.24
Cu: 0.6250 0.3750 0.2500  4 Ba 3.01
Cu: 0.6250 0.7500 0.3750  4 Ba 3.01
Cu: 0.7500 0.3750 0.6250  4 Ba 3.01
Cu: 0.7500 0.8750 0.1250  4 Ba 3.01
Cu: 0.8750 0.1250 0.7500  4 Ba 3.01
Cu: 0.8750 0.2500 0.1250  4 Ba 3.01
Ag: 0.1250 0.2500 0.3750  8 Ba 3.68-3.76
Ag: 0.1250 0.3750 0.7500  8 Ba 3.68-3.76
Ag: 0.2500 0.3750 0.1250  8 Ba 3.68-3.76
Ag: 0.2500 0.8750 0.6250  8 Ba 3.68-3.76
Ag: 0.3750 0.1250 0.2500  8 Ba 3.68-3.76
Ag: 0.3750 0.7500 0.1250  8 Ba 3.68-3.76
Ag: 0.6250 0.2500 0.8750  8 Ba 3.68-3.76
Ag: 0.6250 0.8750 0.7500  8 Ba 3.68-3.76
Ag: 0.7500 0.1250 0.3750  8 Ba 3.68-3.76
Ag: 0.7500 0.6250 0.8750  8 Ba 3.68-3.76
Ag: 0.8750 0.6250 0.2500  8 Ba 3.68-3.76
Ag: 0.8750 0.7500 0.6250  8 Ba 3.68-3.76

calculated formation energy	0.0982	eV per atom

***

Here is an optimized crystal structure of K2TlPtAu from Alexandria via LeMat-Bulk. Energies are from PBE-GGA.

a b c (Å): 6.0818 6.0818 5.2440
angles (deg): 90.00 90.00 90.00
Closest atoms and distances in Å follow each position.
Atoms (fractional coordinates):
K: 0.0000 0.5000 0.0000  2 Pt 3.04
K: 0.5000 0.0000 0.0000  2 Pt 3.04
Tl: 0.0000 0.0000 0.5000  2 Pt 2.62
Pt: 0.0000 0.0000 0.0000  2 Tl 2.62
Au: 0.5000 0.5000 0.5000  8 K 4.02, 4 Tl 4.30

calculated formation energy	-0.0454	eV per atom

***

Here is an optimized crystal structure of Dy4TmTl3 from Alexandria via LeMat-Bulk. Energies are from PBE-GGA.

a b c (Å): 8.8387 8.8387 8.8387
angles (deg): 156.62 119.88 65.41
Closest atoms and distances in Å follow each position.
Atoms (fractional coordinates):
Dy: 0.0620 0.8626 0.1995  5 Tl 3.18-3.28, 1 Tm 3.36, 1 Dy 3.53
Dy: 0.3369 0.1374 0.1995  5 Tl 3.18-3.28, 1 Tm 3.36, 1 Dy 3.53
Dy: 0.6631 0.8626 0.8005  5 Tl 3.18-3.28, 1 Tm 3.36, 1 Dy 3.53
Dy: 0.9380 0.1374 0.8005  5 Tl 3.18-3.28, 1 Tm 3.36, 1 Dy 3.53
Tm: 0.5000 0.0000 0.5000  4 Tl 3.28, 4 Dy 3.36, 2 Tm 3.58
Tl: 0.0000 0.5000 0.5000  8 Dy 3.24, 2 Tl 3.58
Tl: 0.3155 0.3155 0.0000  6 Dy 3.18-3.28, 2 Tm 3.28
Tl: 0.6845 0.6845 0.0000  6 Dy 3.18-3.28, 2 Tm 3.28

calculated formation energy	-0.1318	eV per atom

***

Here is an optimized crystal structure of PmHoAlPb from Alexandria via LeMat-Bulk. Energies are from PBE-GGA.

a b c (Å): 5.3479 5.3479 5.3479
angles (deg): 60.00 60.00 60.00
Closest atoms and distances in Å follow each position.
Atoms (fractional coordinates):
Pm: 0.0000 0.0000 0.0000  4 Pb 3.27, 4 Al 3.27
Ho: 0.5000 0.5000 0.5000  4 Pb 3.27, 4 Al 3.27
Al: 0.2500 0.2500 0.2500  4 Ho 3.27, 4 Pm 3.27
Pb: 0.7500 0.7500 0.7500  4 Ho 3.27, 4 Pm 3.27

calculated formation energy	-0.3319	eV per atom

***

| no. | total magnetic moment (μB/atom) |
| --- | --- |
| 1 | 0.000 |
| 2 | 0.000 |
| 3 | 0.334 |
| 4 | 0.000 |
| 5 | 0.000 |
| 6 | 0.035 |
| 7 | 1.794 |
| 8 | 0.000 |
| 9 | 0.000 |
| 10 | 0.000 |
| 11 | 0.000 |
| 12 | 0.000 |